Entry 1:
This record from Alexandria via LeMat-Bulk describes a geometry-optimized NiBi2Au2 structure. The functional is PBE.

Computed properties:
- Theoretical density: 12.95 g/cm3
- Crystal system: tetragonal
- Spin magnetization: 0.000 μB per atom
- Formation energy: 190 meV/atom

Cell: 7.0848 7.0848 4.4492 Å, 90.00 90.00 90.00°
Space group P4/mbm (No. 127)
Unique sites:
Ni (0.0000, 0.0000, 0.0000) x2
Bi (0.1741, 0.3259, 0.5000) x4
Au (0.1427, 0.6427, 0.0000) x4



Entry 2:
This record from Alexandria via LeMat-Bulk describes a geometry-optimized CaIn2HgI8 structure. The functional is PBE.

Computed properties:
- Theoretical density: 3.97 g/cm3
- Crystal system: trigonal
- Spin magnetization: 0.000 μB per atom
- Raw formation energy: -0.69 eV/atom

Cell: 7.6798 7.6798 36.4565 Å, 90.00 90.00 120.00°
Space group R-3 (No. 148, hexagonal axes)
Unique sites:
Ca (0.0000, 0.0000, 0.0000) x3
In (0.0000, 0.0000, 0.2564) x6
Hg (0.0000, 0.0000, 0.5000) x3
I (0.0000, 0.0000, 0.1829) x6
I (0.0049, 0.3232, 0.6161) x18